{
  "formula": "BeFe3H",
  "functional": "PBEsol",
  "state": "optimized geometry",
  "cell": [[3.5196, 0.0000, 0.0000], [0.0000, 3.5196, 0.0000], [0.0000, 0.0000, 3.5196]],
  "species": ["Be", "Fe", "Fe", "Fe", "H"],
  "frac_coords": [[0.0000, 0.0000, 0.0000], [0.0000, 0.5000, 0.5000], [0.5000, 0.0000, 0.5000], [0.5000, 0.5000, 0.0000], [0.5000, 0.5000, 0.5000]],
  "rho_g_cm3": 6.76,
  "crystal_system": "cubic",
  "energy_ev_per_atom": -6.880,
  "total_magnetization_mub_per_fu": 6.7,
  "space_group": "No. 221"
}

---

{
  "formula": "La2CrCl",
  "functional": "PBEsol",
  "state": "optimized geometry",
  "cell": [[4.9390, 0.0000, 0.0000], [0.0000, 1.6916, 5.5250], [0.0000, -1.6916, 5.5250]],
  "species": ["La", "La", "Cr", "Cl"],
  "frac_coords": [[0.0000, 0.0000, 0.0000], [0.5000, 0.2624, 0.2624], [0.5000, 0.4847, 0.4847], [0.0000, 0.7383, 0.7383]],
  "rho_g_cm3": 6.57,
  "crystal_system": "orthorhombic",
  "energy_ev_per_atom": -6.115,
  "total_magnetization_mub_per_fu": 1.9,
  "e_above_lowest_polymorph_mev_per_atom": 8.1,
  "e_form_raw_kj_per_mol_fu": -146,
  "space_group": "No. 38"
}

---

{
  "formula": "SnAs2O7",
  "functional": "PBEsol",
  "state": "optimized geometry",
  "cell": [[6.1387, 0.0000, 0.0000], [0.0000, 9.4628, 0.0000], [-0.8249, 0.0000, 9.3210]],
  "species": ["Sn", "Sn", "Sn", "Sn", "As", "As", "As", "As", "As", "As", "As", "As", "O", "O", "O", "O", "O", "O", "O", "O", "O", "O", "O", "O", "O", "O", "O", "O", "O", "O", "O", "O", "O", "O", "O", "O", "O", "O", "O", "O"],
  "frac_coords": [[0.1483, 0.0967, 0.2450], [0.1483, 0.4033, 0.7450], [0.8517, 0.5967, 0.2550], [0.8517, 0.9033, 0.7550], [0.0564, 0.6407, 0.9465], [0.0564, 0.8593, 0.4465], [0.3635, 0.7039, 0.7185], [0.3635, 0.7961, 0.2185], [0.6365, 0.2039, 0.7815], [0.6365, 0.2961, 0.2815], [0.9436, 0.1407, 0.5535], [0.9436, 0.3593, 0.0535], [0.0209, 0.0885, 0.7330], [0.0209, 0.4115, 0.2330], [0.0605, 0.1895, 0.0606], [0.0605, 0.3105, 0.5606], [0.1567, 0.6771, 0.1465], [0.1567, 0.8229, 0.6465], [0.1762, 0.0509, 0.4720], [0.1762, 0.4491, 0.9720], [0.3331, 0.7043, 0.9023], [0.3331, 0.7957, 0.4023], [0.3632, 0.5364, 0.6527], [0.3632, 0.9636, 0.1527], [0.3950, 0.2279, 0.3154], [0.3950, 0.2721, 0.8154], [0.6050, 0.7279, 0.1846], [0.6050, 0.7721, 0.6846], [0.6368, 0.0364, 0.8473], [0.6368, 0.4636, 0.3473], [0.6669, 0.2043, 0.5977], [0.6669, 0.2957, 0.0977], [0.8238, 0.5509, 0.0280], [0.8238, 0.9491, 0.5280], [0.8433, 0.1771, 0.3535], [0.8433, 0.3229, 0.8535], [0.9395, 0.6895, 0.4394], [0.9395, 0.8105, 0.9394], [0.9791, 0.5885, 0.7670], [0.9791, 0.9115, 0.2670]],
  "rho_g_cm3": 4.67,
  "crystal_system": "monoclinic",
  "energy_ev_per_atom": -6.325,
  "total_magnetization_mub_per_fu": 0.0,
  "e_form_raw_kj_per_mol_fu": -1161,
  "space_group": "No. 14"
}

---

{
  "formula": "BaZr2In",
  "functional": "PBEsol",
  "state": "optimized geometry",
  "cell": [[3.3525, 0.0000, 0.0000], [0.0000, 3.9283, 0.0000], [0.0000, 0.0000, 8.4753]],
  "species": ["Ba", "Zr", "Zr", "In"],
  "frac_coords": [[0.0000, 0.0000, 0.0000], [0.0000, 0.0000, 0.4816], [0.5000, 0.5000, 0.6693], [0.5000, 0.5000, 0.2913]],
  "rho_g_cm3": 6.47,
  "crystal_system": "orthorhombic",
  "energy_ev_per_atom": -5.791,
  "formation_enthalpy_0k_mev_per_atom": 37,
  "total_magnetization_mub_per_fu": 0.0,
  "space_group": "No. 25"
}

---

{
  "formula": "SrCaMo2",
  "functional": "PBEsol",
  "state": "optimized geometry",
  "cell": [[5.5782, -1.8352, 0.0000], [5.5782, 1.8352, 0.0000], [-3.2056, 0.0000, 5.6646]],
  "species": ["Sr", "Ca", "Mo", "Mo"],
  "frac_coords": [[0.0000, 0.0000, 0.0000], [0.5000, 0.5000, 0.5000], [0.2480, 0.2480, 0.6143], [0.7520, 0.7520, 0.3857]],
  "rho_g_cm3": 4.58,
  "crystal_system": "monoclinic",
  "energy_ev_per_atom": -5.963,
  "formation_enthalpy_0k_mev_per_atom": 914,
  "total_magnetization_mub_per_fu": 0.0,
  "e_above_lowest_polymorph_mev_per_atom": 0.0,
  "space_group": "No. 12"
}

---

{
  "formula": "MgCuP3",
  "functional": "PBEsol",
  "state": "optimized geometry",
  "cell": [[4.4893, 0.0000, 0.0000], [0.0000, 4.4893, 0.0000], [0.0000, 0.0000, 4.4893]],
  "species": ["Mg", "Cu", "P", "P", "P"],
  "frac_coords": [[0.0000, 0.0000, 0.0000], [0.5000, 0.5000, 0.5000], [0.0000, 0.5000, 0.5000], [0.5000, 0.0000, 0.5000], [0.5000, 0.5000, 0.0000]],
  "rho_g_cm3": 3.32,
  "crystal_system": "cubic",
  "energy_ev_per_atom": -4.118,
  "formation_enthalpy_0k_mev_per_atom": 567,
  "total_magnetization_mub_per_fu": 0.0,
  "e_above_lowest_polymorph_mev_per_atom": 0.0,
  "space_group": "No. 221"
}